[1]
A plane-wave DFT calculation with PBE was carried out for a relaxed SbRuSe3 crystal.

Space group = Pm-3m (221)
Calculated total energy = -22.08 eV per formula unit
Energy relative to the lowest polymorph listed for this composition = 0.000 eV per atom
Uncorrected formation energy = 171 kJ/mol of formula units

Cell lengths 4.8771, 4.8771, 4.8771 Å; angles 90.00, 90.00, 90.00 degrees
Sites, in units of the cell vectors:
1 Sb 0.5000 0.5000 0.5000
2 Se 0.0000 0.5000 0.0000
3 Se 0.0000 0.0000 0.5000
4 Se 0.5000 0.0000 0.0000
5 Ru 0.0000 0.0000 0.0000

[2]
A plane-wave DFT calculation with PBE was carried out for a relaxed Sb2RuSe crystal.

Space group = I4/mmm (139)
Calculated total energy = -19.42 eV per formula unit
Uncorrected formation energy = 153 kJ/mol of formula units

Cell lengths 5.1431, 5.1431, 5.1431 Å; angles 127.94, 127.94, 76.71 degrees
Sites, in units of the cell vectors:
1 Ru 0.7500 0.2500 0.5000
2 Sb 0.0000 0.0000 0.0000
3 Sb 0.5000 0.5000 0.0000
4 Se 0.2500 0.7500 0.5000

[3]
A plane-wave DFT calculation with PBE was carried out for a relaxed SbRuSe2 crystal.

Space group = Amm2 (38)
Calculated total energy = -20.75 eV per formula unit
Uncorrected formation energy = -37 kJ/mol of formula units

Cell lengths 3.7583, 5.2871, 5.2874 Å; angles 56.41, 90.00, 90.00 degrees
Sites, in units of the cell vectors:
1 Ru 0.0000 0.4998 0.4999
2 Sb 0.5000 0.7064 0.7064
3 Se 0.0000 0.9659 0.9659
4 Se 0.5000 0.3279 0.3279

[4]
A plane-wave DFT calculation with PBE was carried out for a relaxed SbRuSe2 crystal.

Space group = Imm2 (44)
Calculated total energy = -20.03 eV per formula unit
Uncorrected formation energy = 33 kJ/mol of formula units

Cell lengths 6.6103, 6.6103, 6.6103 Å; angles 152.37, 140.42, 48.96 degrees
Sites, in units of the cell vectors:
1 Ru 0.4837 0.4837 0.0000
2 Sb 0.6774 0.1774 0.5000
3 Se 0.0166 0.0166 0.0000
4 Se 0.3223 0.8223 0.5000

[5]
A plane-wave DFT calculation with PBE was carried out for a relaxed SbRuSe2 crystal.

Space group = P4/mmm (123)
Calculated total energy = -19.79 eV per formula unit
Uncorrected formation energy = 56 kJ/mol of formula units

Cell lengths 3.0489, 3.0489, 9.0014 Å; angles 90.00, 90.00, 90.00 degrees
Sites, in units of the cell vectors:
1 Ru 0.5000 0.5000 0.2500
2 Sb 0.5000 0.5000 0.7500
3 Se 0.0000 0.0000 0.0759
4 Se 0.0000 0.0000 0.4241

[6]
A plane-wave DFT calculation with PBE was carried out for a relaxed SbRu2Se crystal.

Space group = C2/m (12)
Calculated total energy = -23.99 eV per formula unit
Energy relative to the lowest polymorph listed for this composition = 0.512 eV per atom
Uncorrected formation energy = 210 kJ/mol of formula units

Cell lengths 5.0076, 5.1905, 3.3199 Å; angles 72.23, 88.26, 118.21 degrees
Sites, in units of the cell vectors:
1 Ru 0.0000 0.0000 0.0000
2 Ru 0.5000 0.0000 0.5000
3 Sb 0.0000 0.5000 0.5000
4 Se 0.5000 0.5000 0.0000